[1]
Nd3NiB7 after structural relaxation. Source: Alexandria via LeMat-Bulk, functional GGA-PBE.

a = 3.543 Å, b = 16.337 Å, c = 9.558 Å
α = 90.00°, β = 90.00°, γ = 90.00°
Space group Cmcm (No. 63)
Symmetry-distinct sites (fractional):
Nd: 0.000 0.105 0.066 x8
Nd: 0.000 0.243 0.750 x4
Ni: 0.000 0.059 0.750 x4
B: 0.000 0.274 0.030 x8
B: 0.000 0.371 0.152 x8
B: 0.000 0.473 0.750 x4
B: 0.000 0.477 0.092 x8

Summary:
density of states at the Fermi level: 4.85 states/eV/f.u.
final energy: -6.386 eV/atom
formation enthalpy at 0 K: -0.311 eV/atom
theoretical density: 6.809 g/cm³

***

[2]
NdNi3B after structural relaxation. Source: Alexandria via LeMat-Bulk, functional GGA-PBE.

a = 4.089 Å, b = 4.089 Å, c = 4.089 Å
α = 90.00°, β = 90.00°, γ = 90.00°
Space group Pm-3m (No. 221)
Symmetry-distinct sites (fractional):
Nd: 0.000 0.000 0.000 x1
Ni: 0.000 0.500 0.500 x3
B: 0.500 0.500 0.500 x1

Summary:
density of states at the Fermi level: 7.01 states/eV/f.u.
final energy: -6.039 eV/atom
formation enthalpy at 0 K: -0.281 eV/atom
theoretical density: 8.043 g/cm³

***

[3]
NdNi8B2 after structural relaxation. Source: Alexandria via LeMat-Bulk, functional GGA-PBE.

a = 4.748 Å, b = 4.748 Å, c = 7.097 Å
α = 90.00°, β = 90.00°, γ = 90.00°
Space group P4/mmm (No. 123)
Symmetry-distinct sites (fractional):
Nd: 0.000 0.000 0.000 x1
Ni: 0.253 0.253 0.328 x8
B: 0.000 0.500 0.500 x2

Summary:
density of states at the Fermi level: 18.32 states/eV/f.u.
final energy: -5.717 eV/atom
formation enthalpy at 0 K: 0.135 eV/atom
theoretical density: 6.593 g/cm³

***

[4]
NdNi5B2 after structural relaxation. Source: Alexandria via LeMat-Bulk, functional GGA-PBE.

a = 3.487 Å, b = 6.208 Å, c = 8.634 Å
α = 90.00°, β = 90.00°, γ = 90.00°
Space group Immm (No. 71)
Symmetry-distinct sites (fractional):
Nd: 0.000 0.000 0.000 x2
Ni: 0.000 0.190 0.338 x8
Ni: 0.000 0.500 0.000 x2
B: 0.000 0.500 0.232 x4

Summary:
density of states at the Fermi level: 4.18 states/eV/f.u.
final energy: -6.253 eV/atom
formation enthalpy at 0 K: -0.374 eV/atom
theoretical density: 8.161 g/cm³

***

[5]
NdNi3B after structural relaxation. Source: Alexandria via LeMat-Bulk, functional GGA-PBE.

a = 5.035 Å, b = 6.527 Å, c = 8.385 Å
α = 90.00°, β = 90.00°, γ = 90.00°
Space group Imma (No. 74)
Symmetry-distinct sites (fractional):
Nd: 0.000 0.000 0.000 x4
Ni: 0.000 0.060 0.353 x8
Ni: 0.250 0.250 0.750 x4
B: 0.000 0.250 0.551 x4

Summary:
density of states at the Fermi level: 2.67 states/eV/f.u.
final energy: -6.036 eV/atom
formation enthalpy at 0 K: -0.278 eV/atom
theoretical density: 7.982 g/cm³

***

[6]
NdNi5B3 after structural relaxation. Source: Alexandria via LeMat-Bulk, functional GGA-PBE.

a = 3.415 Å, b = 10.887 Å, c = 10.912 Å
α = 90.00°, β = 90.00°, γ = 90.00°
Space group Cmcm (No. 63)
Symmetry-distinct sites (fractional):
Nd: 0.000 0.157 0.250 x4
Ni: 0.000 0.000 0.000 x4
Ni: 0.000 0.204 0.566 x8
Ni: 0.000 0.442 0.144 x8
B: 0.000 0.108 0.750 x4
B: 0.000 0.385 0.531 x8

Summary:
density of states at the Fermi level: 4.94 states/eV/f.u.
final energy: -6.300 eV/atom
formation enthalpy at 0 K: -0.332 eV/atom
theoretical density: 7.698 g/cm³